A geometry-optimized LuScCdNi structure. Source: the Alexandria database, functional PBE.

```
data_LuScCdNi
_chemical_formula_sum 'Lu4 Sc4 Cd4 Ni4'
_symmetry_space_group_name_H-M 'F -4 3 m'
_symmetry_Int_Tables_number 216
_symmetry_space_group_name_Hall 'F -4 2 3'
_cell_length_a 6.870
_cell_length_b 6.870
_cell_length_c 6.870
_cell_angle_alpha 90.00
_cell_angle_beta 90.00
_cell_angle_gamma 90.00
loop_
_atom_site_label
_atom_site_type_symbol
_atom_site_fract_x
_atom_site_fract_y
_atom_site_fract_z
Lu1 Lu 0.000 0.000 0.000
Sc1 Sc 0.000 0.000 0.500
Cd1 Cd 0.250 0.250 0.750
Ni1 Ni 0.250 0.250 0.250
```

## Properties
**Calculated volume**: 20.27 Å³/atom
**Formation energy**: -285 meV per atom